Entry 1:
DFT (PBE) results for an optimized crystal structure of CdSnN2O.

Summary:
- formation energy from raw total energies (eV/f.u.) = 6.55
- energy (eV per atom) = -3.996
- total magnetization (μB/f.u.) = 3.01

a = 4.279 Å, b = 4.279 Å, c = 4.328 Å
α = 90.00°, β = 90.00°, γ = 90.00°
Space group P4/mmm (No. 123)
Asymmetric unit:
1 Cd 0.000 0.000 0.000 (multiplicity 1)
2 Sn 0.500 0.500 0.500 (multiplicity 1)
3 N 0.000 0.500 0.000 (multiplicity 2)
4 O 0.000 0.000 0.500 (multiplicity 1)

=====

Entry 2:
DFT (PBE) results for an optimized crystal structure of SrCdN2O.

Summary:
- formation energy from raw total energies (eV/f.u.) = 6.04
- energy (eV per atom) = -3.632
- total magnetization (μB/f.u.) = 4.38

a = 4.928 Å, b = 4.928 Å, c = 4.568 Å
α = 90.00°, β = 90.00°, γ = 90.00°
Space group P4/mmm (No. 123)
Asymmetric unit:
1 Sr 0.000 0.000 0.000 (multiplicity 1)
2 Cd 0.500 0.500 0.500 (multiplicity 1)
3 N 0.000 0.500 0.000 (multiplicity 2)
4 O 0.000 0.000 0.500 (multiplicity 1)

=====

Entry 3:
DFT (PBE) results for an optimized crystal structure of SrCdN2O.

Summary:
- formation energy from raw total energies (eV/f.u.) = 2.33
- energy (eV per atom) = -4.376
- total magnetization (μB/f.u.) = 2.98

a = 4.287 Å, b = 4.287 Å, c = 4.423 Å
α = 90.00°, β = 90.00°, γ = 90.00°
Space group P4/mmm (No. 123)
Asymmetric unit:
1 Sr 0.000 0.000 0.000 (multiplicity 1)
2 Cd 0.500 0.500 0.500 (multiplicity 1)
3 N 0.000 0.500 0.500 (multiplicity 2)
4 O 0.500 0.500 0.000 (multiplicity 1)

=====

Entry 4:
DFT (PBE) results for an optimized crystal structure of TaCdNO2.

Summary:
- formation energy from raw total energies (eV/f.u.) = 4.61
- energy (eV per atom) = -5.279
- total magnetization (μB/f.u.) = 0.00

a = 4.001 Å, b = 4.001 Å, c = 4.164 Å
α = 90.00°, β = 90.00°, γ = 90.00°
Space group P4/mmm (No. 123)
Asymmetric unit:
1 Ta 0.000 0.000 0.000 (multiplicity 1)
2 Cd 0.500 0.500 0.500 (multiplicity 1)
3 N 0.500 0.500 0.000 (multiplicity 1)
4 O 0.000 0.500 0.500 (multiplicity 2)

=====

Entry 5:
DFT (PBE) results for an optimized crystal structure of TaCdNO2.

Summary:
- formation energy from raw total energies (eV/f.u.) = -6.78
- energy (eV per atom) = -7.559
- total magnetization (μB/f.u.) = 0.00

a = 3.941 Å, b = 3.941 Å, c = 4.222 Å
α = 90.00°, β = 90.00°, γ = 90.00°
Space group P4/mmm (No. 123)
Asymmetric unit:
1 Ta 0.000 0.000 0.000 (multiplicity 1)
2 Cd 0.500 0.500 0.500 (multiplicity 1)
3 N 0.000 0.000 0.500 (multiplicity 1)
4 O 0.000 0.500 0.000 (multiplicity 2)

=====

Entry 6:
DFT (PBE) results for an optimized crystal structure of CdTcN2O.

Summary:
- formation energy from raw total energies (eV/f.u.) = 9.80
- energy (eV per atom) = -4.619
- total magnetization (μB/f.u.) = 2.39

a = 4.191 Å, b = 4.191 Å, c = 4.093 Å
α = 90.00°, β = 90.00°, γ = 90.00°
Space group P4/mmm (No. 123)
Asymmetric unit:
1 Cd 0.000 0.000 0.000 (multiplicity 1)
2 Tc 0.500 0.500 0.500 (multiplicity 1)
3 N 0.000 0.500 0.000 (multiplicity 2)
4 O 0.000 0.000 0.500 (multiplicity 1)

=====

Entry 7:
DFT (PBE) results for an optimized crystal structure of CdTc2NO.

Summary:
- formation energy from raw total energies (eV/f.u.) = 13.21
- energy (eV per atom) = -4.343
- total magnetization (μB/f.u.) = 9.04

a = 5.271 Å, b = 5.271 Å, c = 3.858 Å
α = 90.00°, β = 90.00°, γ = 90.00°
Space group P4/mmm (No. 123)
Asymmetric unit:
1 Cd 0.000 0.000 0.000 (multiplicity 1)
2 Tc 0.000 0.500 0.000 (multiplicity 2)
3 N 0.000 0.000 0.500 (multiplicity 1)
4 O 0.500 0.500 0.500 (multiplicity 1)

=====

Entry 8:
DFT (PBE) results for an optimized crystal structure of CdTcN2O.

Summary:
- formation energy from raw total energies (eV/f.u.) = 0.94
- energy (eV per atom) = -6.390
- total magnetization (μB/f.u.) = 0.00

a = 3.943 Å, b = 3.943 Å, c = 3.891 Å
α = 90.00°, β = 90.00°, γ = 90.00°
Space group P4/mmm (No. 123)
Asymmetric unit:
1 Cd 0.000 0.000 0.000 (multiplicity 1)
2 Tc 0.500 0.500 0.500 (multiplicity 1)
3 N 0.000 0.500 0.500 (multiplicity 2)
4 O 0.500 0.500 0.000 (multiplicity 1)